This record from Alexandria describes a geometry-optimized Sr4BeTc structure. The functional is PBE.

## Properties
Formation energy in kJ/mol of atoms: 138.92

Structure (CIF):
```
data_Sr4BeTc
_chemical_formula_sum 'Sr4 Be1 Tc1'
_cell_length_a 6.784
_cell_length_b 6.784
_cell_length_c 6.784
_cell_angle_alpha 60.00
_cell_angle_beta 60.00
_cell_angle_gamma 60.00
_symmetry_space_group_name_H-M 'P 1'
_symmetry_Int_Tables_number 1
loop_
_symmetry_equiv_pos_as_xyz
'x,y,z'
loop_
_atom_site_label
_atom_site_type_symbol
_atom_site_fract_x
_atom_site_fract_y
_atom_site_fract_z
Tc1 Tc 0.750 0.750 0.750
Sr1 Sr 0.376 0.873 0.376
Sr2 Sr 0.873 0.376 0.376
Sr3 Sr 0.376 0.376 0.873
Sr4 Sr 0.376 0.376 0.376
Be1 Be 0.000 0.000 0.000
```

This record from Alexandria describes a geometry-optimized Ce2SiTe structure. The functional is PBE.

## Properties
E above lowest polymorph in eV/f.u.: 0.26
Formation energy (no corrections) in eV/atom: -0.93

Structure (CIF):
```
data_Ce2SiTe
_chemical_formula_sum 'Ce2 Si1 Te1'
_cell_length_a 4.251
_cell_length_b 4.251
_cell_length_c 7.937
_cell_angle_alpha 74.47
_cell_angle_beta 74.47
_cell_angle_gamma 60.00
_symmetry_space_group_name_H-M 'P 1'
_symmetry_Int_Tables_number 1
loop_
_symmetry_equiv_pos_as_xyz
'x,y,z'
loop_
_atom_site_label
_atom_site_type_symbol
_atom_site_fract_x
_atom_site_fract_y
_atom_site_fract_z
Te1 Te 0.499 0.499 0.504
Ce1 Ce 0.072 0.072 0.783
Ce2 Ce 0.261 0.261 0.217
Si1 Si 0.668 0.668 0.995
```

This record from Alexandria describes a geometry-optimized MgCoRe structure. The functional is PBE.

## Properties
Formation energy in kJ/mol of atoms: 16.17
E above lowest polymorph in eV/f.u.: 0.31

Structure (CIF):
```
data_MgCoRe
_chemical_formula_sum 'Mg2 Co2 Re2'
_cell_length_a 7.195
_cell_length_b 4.877
_cell_length_c 2.771
_cell_angle_alpha 106.56
_cell_angle_beta 78.92
_cell_angle_gamma 78.64
_symmetry_space_group_name_H-M 'P 1'
_symmetry_Int_Tables_number 1
loop_
_symmetry_equiv_pos_as_xyz
'x,y,z'
loop_
_atom_site_label
_atom_site_type_symbol
_atom_site_fract_x
_atom_site_fract_y
_atom_site_fract_z
Re1 Re 0.602 0.437 0.886
Re2 Re 0.701 0.926 0.082
Co1 Co 0.891 0.477 0.261
Co2 Co 0.412 0.887 0.706
Mg1 Mg 0.253 0.398 0.541
Mg2 Mg 0.049 0.965 0.427
```

Number 1: total magnetization 2.16 Bohr magnetons per cell, N(E_F) 10.697 states/eV/f.u.. Number 2: total magnetization 1.74 Bohr magnetons per cell, N(E_F) 10.318 states/eV/f.u.. Number 3: total magnetization 0.00 Bohr magnetons per cell, N(E_F) 3.067 states/eV/f.u..